Entry 1:
The following is a DFT calculation (PBE-GGA) of a relaxed structure of ZnCuAg.

Lattice parameters (Å, degrees): 4.3075 4.3075 2.7815 90.00 90.00 120.00
Space group P3m1 (No. 156)
Asymmetric unit:
Zn  0.0000  0.0000  0.0000 (multiplicity 1)
Cu  0.6667  0.3333  0.9929 (multiplicity 1)
Ag  0.3333  0.6667  0.4958 (multiplicity 1)

Computed properties:
Total magnetic moment ... 0.000 μB per formula unit
Energy above the most stable polymorph in this dataset ... 0.053 eV/atom
DOS(E_F) ... 1.105 states/eV per cell
Formation energy ... 0.012 eV/atom

Entry 2:
The following is a DFT calculation (PBE-GGA) of a relaxed structure of PrDy4Cd.

Lattice parameters (Å, degrees): 3.605 3.605 14.117 90.00 90.00 90.00
Space group P4/mmm (No. 123)
Asymmetric unit:
Pr  0.000  0.000  0.000 (multiplicity 1)
Dy  0.000  0.000  0.356 (multiplicity 2)
Dy  0.500  0.500  0.181 (multiplicity 2)
Cd  0.500  0.500  0.500 (multiplicity 1)

Computed properties:
Total magnetic moment ... 0.001 μB per formula unit
Energy above the most stable polymorph in this dataset ... 0.000 eV/atom
DOS(E_F) ... 8.471 states/eV per cell
Formation energy ... -0.087 eV/atom

Entry 3:
The following is a DFT calculation (PBE-GGA) of a relaxed structure of LiNd3Tl2.

Lattice parameters (Å, degrees): 5.4801 5.4801 13.4589 90.00 90.00 120.00
Space group P-3m1 (No. 164)
Asymmetric unit:
Li  0.3333  0.6667  0.1703 (multiplicity 2)
Nd  0.0000  0.0000  0.2506 (multiplicity 2)
Nd  0.3333  0.6667  0.4177 (multiplicity 2)
Nd  0.3333  0.6667  0.9197 (multiplicity 2)
Tl  0.0000  0.0000  0.0000 (multiplicity 1)
Tl  0.0000  0.0000  0.5000 (multiplicity 1)
Tl  0.3333  0.6667  0.6789 (multiplicity 2)

Computed properties:
Total magnetic moment ... 0.001 μB per formula unit
Energy above the most stable polymorph in this dataset ... 0.000 eV/atom
DOS(E_F) ... 14.584 states/eV per cell
Formation energy ... -0.266 eV/atom

Entry 4:
The following is a DFT calculation (PBE-GGA) of a relaxed structure of Er3Si2Os2.

Lattice parameters (Å, degrees): 5.560 7.521 13.410 90.00 90.00 90.00
Space group Pbcm (No. 57)
Asymmetric unit:
Er  0.123  0.248  0.250 (multiplicity 4)
Er  0.357  0.604  0.101 (multiplicity 8)
Si  0.099  0.250  0.000 (multiplicity 4)
Si  0.365  0.599  0.750 (multiplicity 4)
Os  0.149  0.527  0.592 (multiplicity 8)

Computed properties:
Formation energy from raw total energies ... -0.662 eV/atom
Total magnetic moment ... 0.000 μB per formula unit
DOS(E_F) ... 16.302 states/eV per cell

Entry 5:
The following is a DFT calculation (PBE-GGA) of a relaxed structure of BaSrOs2.

Lattice parameters (Å, degrees): 3.505 5.020 5.063 90.00 90.00 90.00
Space group Pmmm (No. 47)
Asymmetric unit:
Ba  0.000  0.000  0.000 (multiplicity 1)
Sr  0.500  0.500  0.000 (multiplicity 1)
Os  0.000  0.500  0.500 (multiplicity 1)
Os  0.500  0.000  0.500 (multiplicity 1)

Computed properties:
Total magnetic moment ... 0.000 μB per formula unit
Energy above the most stable polymorph in this dataset ... 1.176 eV/atom
DOS(E_F) ... 4.619 states/eV per cell
Formation energy ... 1.368 eV/atom

Entry 6:
The following is a DFT calculation (PBE-GGA) of a relaxed structure of Ce2DyCd8.

Lattice parameters (Å, degrees): 8.448 15.875 5.357 90.00 129.31 90.00
Space group C2/m (No. 12)
Asymmetric unit:
Ce  0.000  0.191  0.000 (multiplicity 4)
Dy  0.000  0.500  0.500 (multiplicity 2)
Cd  0.000  0.301  0.500 (multiplicity 4)
Cd  0.010  0.000  0.762 (multiplicity 4)
Cd  0.226  0.375  0.229 (multiplicity 8)

Computed properties:
Total magnetic moment ... 1.584 μB per formula unit
DOS(E_F) ... 36.034 states/eV per cell
Formation energy ... -0.168 eV/atom

Repeat the third record exactly.
The following is a DFT calculation (PBE-GGA) of a relaxed structure of LiNd3Tl2.

Lattice parameters (Å, degrees): 5.4801 5.4801 13.4589 90.00 90.00 120.00
Space group P-3m1 (No. 164)
Asymmetric unit:
Li  0.3333  0.6667  0.1703 (multiplicity 2)
Nd  0.0000  0.0000  0.2506 (multiplicity 2)
Nd  0.3333  0.6667  0.4177 (multiplicity 2)
Nd  0.3333  0.6667  0.9197 (multiplicity 2)
Tl  0.0000  0.0000  0.0000 (multiplicity 1)
Tl  0.0000  0.0000  0.5000 (multiplicity 1)
Tl  0.3333  0.6667  0.6789 (multiplicity 2)

Computed properties:
Total magnetic moment ... 0.001 μB per formula unit
Energy above the most stable polymorph in this dataset ... 0.000 eV/atom
DOS(E_F) ... 14.584 states/eV per cell
Formation energy ... -0.266 eV/atom